PrNd2Sn3Pd3: relaxed, GGA-PBE.

Summary:
Space group: Amm2, No. 38
Magnetization, μB per cell: 0.004
Uncorrected energy, eV for the cell shown: -50.1

a b c (Å): 4.145 7.656 7.656
angles (deg): 120.00 90.00 90.00
Atoms (fractional coordinates):
Nd 0.000 0.588 0.000
Nd 0.000 0.000 0.588
Pd 0.500 0.668 0.333
Pd 0.500 0.333 0.668
Pd 0.000 0.999 0.999
Pr 0.000 0.413 0.413
Sn 0.500 0.999 0.251
Sn 0.500 0.749 0.749
Sn 0.500 0.251 0.999



Pr3Nd3Te2Pd: relaxed, GGA-PBE.

Summary:
Space group: P-62m, No. 189
Magnetization, μB per cell: 0.023
Uncorrected energy, eV for the cell shown: -47.4

a b c (Å): 8.778 8.778 4.050
angles (deg): 90.00 90.00 120.00
Atoms (fractional coordinates):
Nd 0.412 0.000 0.000
Nd 0.000 0.412 0.000
Nd 0.588 0.588 0.000
Pd 0.000 0.000 0.000
Pr 0.752 0.000 0.500
Pr 0.248 0.248 0.500
Pr 0.000 0.752 0.500
Te 0.667 0.333 0.500
Te 0.333 0.667 0.500



Pr3Nd3Te2Pd: relaxed, GGA-PBE.

Summary:
Space group: P-62m, No. 189
Magnetization, μB per cell: 0.001
Uncorrected energy, eV for the cell shown: -47.6

a b c (Å): 8.768 8.768 4.056
angles (deg): 90.00 90.00 120.00
Atoms (fractional coordinates):
Nd 0.752 0.000 0.500
Nd 0.248 0.248 0.500
Nd 0.000 0.752 0.500
Pd 0.000 0.000 0.000
Pr 0.412 0.000 0.000
Pr 0.000 0.412 0.000
Pr 0.588 0.588 0.000
Te 0.667 0.333 0.500
Te 0.333 0.667 0.500



PrNdTl2Pd4: relaxed, GGA-PBE.

Summary:
Space group: P-6m2, No. 187
Magnetization, μB per cell: 0.000
Uncorrected energy, eV for the cell shown: -40.0

a b c (Å): 4.720 4.720 9.119
angles (deg): 90.00 90.00 120.00
Atoms (fractional coordinates):
Nd 0.333 0.667 0.000
Pd 0.000 0.000 0.161
Pd 0.333 0.667 0.337
Pd 0.333 0.667 0.663
Pd 0.000 0.000 0.839
Pr 0.000 0.000 0.500
Tl 0.667 0.333 0.249
Tl 0.667 0.333 0.751



PrNdTlPd2: relaxed, GGA-PBE.

Summary:
Space group: Amm2, No. 38
Magnetization, μB per cell: 0.003
Uncorrected energy, eV for the cell shown: -25.8

a b c (Å): 3.853 7.950 7.950
angles (deg): 30.72 90.00 90.00
Atoms (fractional coordinates):
Nd 0.000 0.367 0.367
Pd 0.500 0.192 0.192
Pd 0.500 0.809 0.809
Pr 0.000 0.632 0.632
Tl 0.500 0.000 0.000



Nd3PdPt8: relaxed, GGA-PBE.

Summary:
Space group: R3m, No. 160
Magnetization, μB per cell: 0.003
Uncorrected energy, eV for the cell shown: -78.8
ΔE_f, meV per atom: -903.8

a b c (Å): 9.474 9.474 9.474
angles (deg): 33.47 33.47 33.47
Atoms (fractional coordinates):
Nd 0.378 0.378 0.378
Nd 0.508 0.508 0.508
Nd 0.988 0.988 0.988
Pd 0.868 0.868 0.868
Pt 0.189 0.189 0.189
Pt 0.941 0.437 0.437
Pt 0.437 0.941 0.437
Pt 0.938 0.938 0.439
Pt 0.688 0.688 0.688
Pt 0.938 0.439 0.938
Pt 0.439 0.938 0.938
Pt 0.437 0.437 0.941



- Among the records above, which one has the lowest uncorrected energy?
  Nd3PdPt8



- Look up the uncorrected energy of the third one.
  -47.6 eV for the cell shown



- What is the uncorrected energy in the fifth record?
  -25.8 eV for the cell shown